[1]
This record from Alexandria via LeMat-Bulk describes Tb2Al3Pt at its PBEsol-relaxed geometry. The functional is meta-GGA SCAN.

Output
DOS at the Fermi energy: 0.4987 states/eV/atom
E_tot: -32.094 eV per atom
space group: R-3m (166)

```
Tb2Al3Pt
1.0
2.738 1.581 4.368
-2.738 1.581 4.368
0.000 -3.162 4.368
Tb Al Pt
2 3 1
direct
0.126 0.126 0.126
0.874 0.874 0.874
0.000 0.500 0.500
0.500 0.000 0.500
0.500 0.500 0.000
0.500 0.500 0.500
```

[2]
This record from Alexandria via LeMat-Bulk describes AlTc2Pt at its PBEsol-relaxed geometry. The functional is meta-GGA SCAN.

Output
DOS at the Fermi energy: 1.0903 states/eV/atom
relative energy among the computed polymorphs: 0.016 eV/atom
E_tot: -37.402 eV per atom
space group: P4/mmm (123)

```
AlTc2Pt
1.0
3.648 0.000 0.000
0.000 3.648 0.000
0.000 0.000 4.265
Al Tc Pt
1 2 1
direct
0.000 0.000 0.000
0.000 0.500 0.500
0.500 0.000 0.500
0.500 0.500 0.000
```

[3]
This record from Alexandria via LeMat-Bulk describes AlTcPt2 at its PBEsol-relaxed geometry. The functional is meta-GGA SCAN.

Output
DOS at the Fermi energy: 0.6436 states/eV/atom
relative energy among the computed polymorphs: 0.173 eV/atom
E_tot: -46.274 eV per atom
space group: Imm2 (44)

```
AlTcPt2
1.0
-1.383 2.248 4.667
1.383 -2.248 4.667
1.383 2.248 -4.667
Al Tc Pt
1 1 2
direct
0.000 0.000 0.000
0.230 0.730 0.500
0.493 0.493 0.000
0.779 0.279 0.500
```

[4]
This record from Alexandria via LeMat-Bulk describes Al3TcPt at its PBEsol-relaxed geometry. The functional is meta-GGA SCAN.

Output
DOS at the Fermi energy: 0.5832 states/eV/atom
E_tot: -25.416 eV per atom
space group: Pm-3m (221)

```
Al3TcPt
1.0
4.625 0.000 0.000
0.000 4.625 0.000
0.000 0.000 4.625
Al Tc Pt
3 1 1
direct
0.000 0.000 0.500
0.000 0.500 0.000
0.500 0.000 0.000
0.500 0.500 0.500
0.000 0.000 0.000
```

[5]
This record from Alexandria via LeMat-Bulk describes AlTc2Pt at its PBEsol-relaxed geometry. The functional is meta-GGA SCAN.

Output
DOS at the Fermi energy: 0.9187 states/eV/atom
relative energy among the computed polymorphs: 0.248 eV/atom
E_tot: -37.169 eV per atom
space group: P4/mmm (123)

```
AlTc2Pt
1.0
4.586 0.000 0.000
0.000 4.586 0.000
0.000 0.000 2.724
Al Tc Pt
1 2 1
direct
0.000 0.000 0.000
0.000 0.500 0.500
0.500 0.000 0.500
0.500 0.500 0.000
```

[6]
This record from Alexandria via LeMat-Bulk describes AlTc2Pt at its PBEsol-relaxed geometry. The functional is meta-GGA SCAN.

Output
DOS at the Fermi energy: 0.8382 states/eV/atom
relative energy among the computed polymorphs: 0.039 eV/atom
E_tot: -37.378 eV per atom
space group: C2/m (12)

```
AlTc2Pt
1.0
4.604 -1.374 0.000
4.604 1.374 0.000
-0.793 0.000 4.479
Al Tc Pt
1 2 1
direct
0.000 0.000 0.000
0.248 0.248 0.755
0.752 0.752 0.245
0.500 0.500 0.500
```

[7]
This record from Alexandria via LeMat-Bulk describes AlTcPt2 at its PBEsol-relaxed geometry. The functional is meta-GGA SCAN.

Output
DOS at the Fermi energy: 0.5649 states/eV/atom
relative energy among the computed polymorphs: 0.161 eV/atom
E_tot: -46.286 eV per atom
space group: R-3m (166)

```
AlTcPt2
1.0
1.392 0.804 8.552
-1.392 0.804 8.552
0.000 -1.608 8.552
Al Tc Pt
1 1 2
direct
0.000 0.000 0.000
0.500 0.500 0.500
0.253 0.253 0.253
0.747 0.747 0.747
```

[8]
This record from Alexandria via LeMat-Bulk describes AlTc2Pt at its PBEsol-relaxed geometry. The functional is meta-GGA SCAN.

Output
DOS at the Fermi energy: 0.7541 states/eV/atom
relative energy among the computed polymorphs: 0.000 eV/atom
E_tot: -37.418 eV per atom
space group: Cm (8)

```
AlTc2Pt
1.0
4.399 -1.359 0.000
4.399 1.359 0.000
-0.675 0.000 4.763
Al Tc Pt
1 2 1
direct
0.000 0.000 0.000
0.506 0.506 0.489
0.755 0.755 0.298
0.254 0.254 0.799
```

[9]
This record from Alexandria via LeMat-Bulk describes AlTcPt2 at its PBEsol-relaxed geometry. The functional is meta-GGA SCAN.

Output
DOS at the Fermi energy: 0.7174 states/eV/atom
relative energy among the computed polymorphs: 0.000 eV/atom
E_tot: -46.447 eV per atom
space group: P4/mmm (123)

```
AlTcPt2
1.0
2.734 0.000 0.000
0.000 2.734 0.000
0.000 0.000 7.605
Al Tc Pt
1 1 2
direct
0.000 0.000 0.000
0.000 0.000 0.500
0.500 0.500 0.241
0.500 0.500 0.759
```

[10]
This record from Alexandria via LeMat-Bulk describes AlTePt at its PBEsol-relaxed geometry. The functional is meta-GGA SCAN.

Output
ΔE_f (raw): -1.50 eV per formula unit
DOS at the Fermi energy: 0.4947 states/eV/atom
relative energy among the computed polymorphs: 0.089 eV/atom
E_tot: -38.900 eV per atom
space group: F-43m (216)

```
AlTePt
1.0
0.000 3.151 3.151
3.151 0.000 3.151
3.151 3.151 0.000
Al Te Pt
1 1 1
direct
0.000 0.000 0.000
0.500 0.500 0.500
0.750 0.750 0.750
```

[11]
This record from Alexandria via LeMat-Bulk describes Al2TePt2 at its PBEsol-relaxed geometry. The functional is meta-GGA SCAN.

Output
ΔE_f (raw): -2.88 eV per formula unit
DOS at the Fermi energy: 0.3191 states/eV/atom
E_tot: -39.205 eV per atom
space group: P4/mbm (127)

```
Al2TePt2
1.0
7.748 0.000 0.000
0.000 7.748 0.000
0.000 0.000 2.826
Al Te Pt
4 2 4
direct
0.152 0.348 0.000
0.348 0.848 0.000
0.652 0.152 0.000
0.848 0.652 0.000
0.000 0.000 0.000
0.500 0.500 0.000
0.136 0.636 0.500
0.364 0.136 0.500
0.636 0.864 0.500
0.864 0.364 0.500
```

[12]
This record from Alexandria via LeMat-Bulk describes AlTePt2 at its PBEsol-relaxed geometry. The functional is meta-GGA SCAN.

Output
ΔE_f (raw): -0.96 eV per formula unit
DOS at the Fermi energy: 0.3609 states/eV/atom
relative energy among the computed polymorphs: 0.248 eV/atom
E_tot: -46.588 eV per atom
space group: P4/mmm (123)

```
AlTePt2
1.0
4.340 0.000 0.000
0.000 4.340 0.000
0.000 0.000 3.636
Al Te Pt
1 1 2
direct
0.000 0.000 0.000
0.500 0.500 0.000
0.000 0.500 0.500
0.500 0.000 0.500
```